Entry 1:
Compound: HfZn2Ir
Source: Alexandria
Functional: PBE
Structure: optimized geometry

## Properties
SG: No. 11
ΔH_f (0 K), eV per formula unit: -1.9
DFT total energy, eV/f.u.: -23.22

a = 4.3618 Å, b = 5.6770 Å, c = 5.6203 Å
α = 111.80°, β = 90.00°, γ = 90.00°
With the nearest neighbours (Å) after each atom.
Element x y z (fractional)
1 Hf 0.2500 0.3592 0.1225  4 Ir 2.71-2.91, 6 Zn 2.88-2.95
2 Hf 0.7500 0.6408 0.8775  4 Ir 2.71-2.91, 6 Zn 2.88-2.95
3 Zn 0.2500 0.8482 0.6801  3 Zn 2.56-2.64, 3 Ir 2.68-2.81
4 Zn 0.7500 0.1518 0.3199  3 Zn 2.56-2.64, 3 Ir 2.68-2.81
5 Zn 0.2500 0.8965 0.2313  3 Zn 2.56-2.64, 3 Ir 2.80-2.87
6 Zn 0.7500 0.1035 0.7687  3 Zn 2.56-2.64, 3 Ir 2.80-2.87
7 Ir 0.2500 0.3641 0.6421  6 Zn 2.68-2.87, 4 Hf 2.71-2.91
8 Ir 0.7500 0.6359 0.3579  6 Zn 2.68-2.87, 4 Hf 2.71-2.91



Entry 2:
Compound: Rb2In3
Source: Alexandria
Functional: PBE
Structure: optimized geometry

## Properties
SG: No. 139
ΔH_f (0 K), eV per formula unit: -0.7
DFT total energy, eV/f.u.: -10.84

a = 7.0143 Å, b = 7.0143 Å, c = 9.4202 Å
α = 111.86°, β = 111.86°, γ = 90.00°
With the nearest neighbours (Å) after each atom.
Element x y z (fractional)
1 Rb 0.3895 0.3895 0.7790  1 Rb 3.54, 1 In 3.86
2 Rb 0.6105 0.6105 0.2210  1 Rb 3.54, 1 In 3.86
3 Rb 0.2500 0.7500 0.5000  8 In 3.87-4.25, 4 Rb 4.16
4 Rb 0.7500 0.2500 0.5000  8 In 3.87-4.26, 4 Rb 4.16
5 In 0.0002 0.7050 0.0004  5 In 2.87-3.15
6 In 0.1482 0.1482 0.2965  4 In 3.15
7 In 0.8518 0.8518 0.7035  4 In 3.15
8 In 0.0002 0.2953 0.0004  5 In 2.87-3.15
9 In 0.2950 0.9998 0.9996  5 In 2.87-3.15
10 In 0.7047 0.9998 0.9996  5 In 2.87-3.15



Entry 3:
Compound: PrTm14Th
Source: Alexandria
Functional: PBE
Structure: optimized geometry

## Properties
SG: No. 38
ΔH_f (0 K), eV per formula unit: 0.3
DFT total energy, eV/f.u.: -74.47

a = 7.0482 Å, b = 7.0482 Å, c = 11.3546 Å
α = 90.00°, β = 90.00°, γ = 119.72°
With the nearest neighbours (Å) after each atom.
Element x y z (fractional)
1 Pr 0.2089 0.7911 0.5000  10 Tm 3.52-3.54, 2 Th 3.54
2 Tm 0.0414 0.9586 0.0000  12 Tm 3.47-3.54
3 Tm 0.5415 0.4585 0.0000  12 Tm 3.45-3.54
4 Tm 0.2079 0.2913 0.5000  8 Tm 3.51-3.54, 2 Th 3.51-3.54, 2 Pr 3.52-3.53
5 Tm 0.0426 0.4581 0.0000  12 Tm 3.46-3.54
6 Tm 0.7087 0.7921 0.5000  8 Tm 3.51-3.54, 2 Th 3.51-3.54, 2 Pr 3.52-3.53
7 Tm 0.5419 0.9574 0.0000  12 Tm 3.46-3.54
8 Tm 0.3779 0.1270 0.7539  10 Tm 3.45-3.57, 1 Th 3.52, 1 Pr 3.54
9 Tm 0.3779 0.1270 0.2461  10 Tm 3.45-3.57, 1 Th 3.52, 1 Pr 3.54
10 Tm 0.8730 0.6221 0.7539  10 Tm 3.45-3.57, 1 Th 3.52, 1 Pr 3.54
11 Tm 0.8730 0.6221 0.2461  10 Tm 3.45-3.57, 1 Th 3.52, 1 Pr 3.54
12 Tm 0.3760 0.6240 0.7540  11 Tm 3.45-3.54, 1 Pr 3.53
13 Tm 0.3760 0.6240 0.2460  11 Tm 3.45-3.54, 1 Pr 3.53
14 Tm 0.8734 0.1266 0.7507  11 Tm 3.48-3.55, 1 Th 3.50
15 Tm 0.8734 0.1266 0.2493  11 Tm 3.48-3.55, 1 Th 3.50
16 Th 0.7065 0.2935 0.5000  10 Tm 3.50-3.54, 2 Pr 3.54